[1]
{"formula": "InSb2Rh2", "functional": "PBE", "state": "optimized geometry", "lattice_angstrom": [[-4.150, -6.510, -1.286], [6.521, -4.282, 0.635], [-0.515, -0.307, 3.214]], "species": ["Sb", "Sb", "Sb", "Sb", "In", "In", "Rh", "Rh", "Rh", "Rh"], "frac_coords": [[0.653, 0.847, 0.500], [0.847, 0.347, 0.500], [0.347, 0.153, 0.500], [0.153, 0.653, 0.500], [0.500, 0.500, 0.000], [0.000, 0.000, 0.000], [0.364, 0.864, 0.000], [0.636, 0.136, 0.000], [0.864, 0.636, 0.000], [0.136, 0.364, 0.000]], "rho_g_cm3": 9.356, "sg": "P4/mbm, No. 127", "energy_ev_per_atom": -5.308, "e_form_raw_mev_per_atom": -171, "de_polymorph_ev_per_atom": 0.051}

[2]
{"formula": "Pr3Ho2Tm6Pu", "functional": "PBE", "state": "optimized geometry", "lattice_angstrom": [[-0.983, -4.046, 4.517], [1.948, -1.942, -5.493], [10.539, 3.187, 3.756]], "species": ["Pr", "Pr", "Pr", "Tm", "Tm", "Tm", "Tm", "Tm", "Tm", "Pu", "Ho", "Ho"], "frac_coords": [[0.833, 0.167, 0.500], [0.167, 0.833, 0.500], [0.500, 0.500, 0.500], [0.752, 0.752, 0.244], [0.081, 0.410, 0.244], [0.919, 0.590, 0.756], [0.248, 0.248, 0.756], [0.410, 0.081, 0.244], [0.590, 0.919, 0.756], [0.000, 0.000, 0.000], [0.333, 0.667, 0.000], [0.667, 0.333, 0.000]], "rho_g_cm3": 8.918, "sg": "C2/m, No. 12", "formation_enthalpy_0k_kj_per_mol_atoms": 4.36, "energy_ev_per_atom": -5.343}

[3]
{"formula": "Pr4BiTeAs2", "functional": "PBE", "state": "optimized geometry", "lattice_angstrom": [[-0.009, -2.666, 3.525], [-5.722, -4.199, -3.189], [3.062, -5.598, -4.225]], "species": ["Pr", "Pr", "Pr", "Pr", "Bi", "Te", "As", "As"], "frac_coords": [[0.000, 0.227, 0.257], [0.500, 0.774, 0.241], [0.500, 0.226, 0.759], [0.000, 0.773, 0.743], [0.500, 0.500, 0.000], [0.000, 0.500, 0.500], [0.000, 0.000, 0.000], [0.500, 0.000, 0.500]], "rho_g_cm3": 7.010, "sg": "P2/m, No. 10", "energy_ev_per_atom": -5.818, "e_form_raw_mev_per_atom": -1388}

[4]
{"formula": "Cs2SrH4", "functional": "PBE", "state": "optimized geometry", "lattice_angstrom": [[4.065, 0.000, 0.000], [0.000, 7.370, 0.000], [0.000, 0.000, 12.304]], "species": ["H", "H", "H", "H", "H", "H", "H", "H", "Cs", "Cs", "Cs", "Cs", "Sr", "Sr"], "frac_coords": [[0.500, 0.194, 0.452], [0.500, 0.694, 0.048], [0.000, 0.637, 0.820], [0.500, 0.806, 0.548], [0.000, 0.863, 0.320], [0.500, 0.306, 0.952], [0.000, 0.363, 0.180], [0.000, 0.137, 0.680], [0.500, 0.443, 0.678], [0.500, 0.557, 0.322], [0.500, 0.943, 0.822], [0.500, 0.057, 0.178], [0.000, 0.500, 0.000], [0.000, 0.000, 0.500]], "rho_g_cm3": 3.220, "sg": "Pbam, No. 55", "energy_ev_per_atom": -2.692}